The following is a DFT calculation (GGA-PBE) of a relaxed structure of ZrU.

Energy above the lowest structure with this stoichiometry: 0.384 eV per formula unit
ΔE_f: 0.307 eV per atom

Cell: 5.257 5.221 6.509 Å, 90.00 90.00 90.00°
Space group Pnma (No. 62)
Inequivalent atoms, fractional coordinates:
Zr (0.011, 0.250, 0.126) x4
U (0.013, 0.250, 0.624) x4

---

The following is a DFT calculation (GGA-PBE) of a relaxed structure of NaZrGa2Br6.

Final energy: -3.501 eV/atom

Cell: 10.982 10.982 10.982 Å, 90.00 90.00 90.00°
Space group Fm-3m (No. 225)
Inequivalent atoms, fractional coordinates:
Na (0.000, 0.000, 0.000) x4
Zr (0.000, 0.000, 0.500) x4
Ga (0.250, 0.250, 0.250) x8
Br (0.000, 0.000, 0.257) x24

---

The following is a DFT calculation (GGA-PBE) of a relaxed structure of LaOsNO.

Energy above the lowest structure with this stoichiometry: 3.407 eV per formula unit

Cell: 3.611 3.611 4.352 Å, 90.00 90.00 90.00°
Space group P4/mmm (No. 123)
Inequivalent atoms, fractional coordinates:
La (0.000, 0.000, 0.000) x1
Os (0.500, 0.500, 0.500) x1
N (0.500, 0.500, 0.000) x1
O (0.000, 0.000, 0.500) x1

---

The following is a DFT calculation (GGA-PBE) of a relaxed structure of Co8Ni7.

Energy above the lowest structure with this stoichiometry: 0.136 eV per formula unit
ΔE_f: 0.086 eV per atom

Cell: 8.553 8.553 4.483 Å, 90.00 90.00 90.00°
Space group P4_2/mnm (No. 136)
Inequivalent atoms, fractional coordinates:
Co (0.037, 0.369, 0.000) x8
Co (0.183, 0.817, 0.250) x8
Ni (0.000, 0.000, 0.500) x2
Ni (0.065, 0.264, 0.500) x8
Ni (0.100, 0.100, 0.000) x4

---

The following is a DFT calculation (GGA-PBE) of a relaxed structure of KPrSbSe3.

Final energy: -4.359 eV/atom

Cell: 4.500 16.116 10.800 Å, 90.00 90.00 90.00°
Space group Cmcm (No. 63)
Inequivalent atoms, fractional coordinates:
K (0.000, 0.246, 0.250) x4
Pr (0.000, 0.000, 0.000) x4
Sb (0.000, 0.467, 0.750) x4
Se (0.000, 0.102, 0.750) x4
Se (0.000, 0.373, 0.543) x8

---

The following is a DFT calculation (GGA-PBE) of a relaxed structure of HoSi4Ir3.

Final energy: -7.196 eV/atom

Cell: 5.282 3.739 6.701 Å, 90.00 102.55 90.00°
Space group Pm (No. 6)
Inequivalent atoms, fractional coordinates:
Ho (0.000, 0.000, 0.000) x1
Si (0.138, 0.500, 0.671) x1
Si (0.506, 0.000, 0.712) x1
Si (0.517, 0.000, 0.213) x1
Si (0.862, 0.500, 0.295) x1
Ir (0.330, 0.500, 0.365) x1
Ir (0.500, 0.500, 0.971) x1
Ir (0.839, 0.000, 0.529) x1

---

The following is a DFT calculation (GGA-PBE) of a relaxed structure of Y3CdO.

Final energy: -6.389 eV/atom

Cell: 4.788 4.788 4.788 Å, 90.00 90.00 90.00°
Space group Pm-3m (No. 221)
Inequivalent atoms, fractional coordinates:
Y (0.000, 0.000, 0.500) x3
Cd (0.500, 0.500, 0.500) x1
O (0.000, 0.000, 0.000) x1

---

The following is a DFT calculation (GGA-PBE) of a relaxed structure of BeGaCuMo.

Energy above the lowest structure with this stoichiometry: 0.000 eV per formula unit

Cell: 5.907 5.907 5.907 Å, 90.00 90.00 90.00°
Space group F-43m (No. 216)
Inequivalent atoms, fractional coordinates:
Be (0.000, 0.000, 0.000) x4
Ga (0.000, 0.000, 0.500) x4
Cu (0.250, 0.250, 0.750) x4
Mo (0.250, 0.250, 0.250) x4